1.
# Pa2GaO8 | Alexandria | GGA-PBE | relaxed
# Space-group type: No. 12
# Formation energy (no corrections): -25.21 eV/f.u.
# Density: 5.8 g/cm3
# Crystal system: monoclinic
data_Pa2GaO8
_chemical_formula_sum 'Pa2 Ga1 O8'
_symmetry_space_group_name_H-M 'P 1'
_symmetry_Int_Tables_number 1
_cell_length_a 8.363
_cell_length_b 8.363
_cell_length_c 3.942
_cell_angle_alpha 98.05
_cell_angle_beta 98.05
_cell_angle_gamma 133.25
loop_
_symmetry_equiv_pos_as_xyz
'x,y,z'
loop_
_atom_site_label
_atom_site_fract_x
_atom_site_fract_y
_atom_site_fract_z
Pa1 0.132 0.868 0.000
Pa2 0.868 0.132 0.000
Ga1 0.500 0.500 0.500
O1 0.061 0.061 0.683
O2 0.190 0.810 0.500
O3 0.218 0.396 0.240
O4 0.396 0.218 0.240
O5 0.604 0.782 0.760
O6 0.782 0.604 0.760
O7 0.810 0.190 0.500
O8 0.939 0.939 0.317

2.
# PaGaO2 | Alexandria | GGA-PBE | relaxed
# Space-group type: No. 166
# Formation energy (no corrections): -8.89 eV/f.u.
# Density: 6.9 g/cm3
# Crystal system: trigonal
data_PaGaO2
_chemical_formula_sum 'Pa1 Ga1 O2'
_symmetry_space_group_name_H-M 'P 1'
_symmetry_Int_Tables_number 1
_cell_length_a 7.230
_cell_length_b 7.230
_cell_length_c 7.230
_cell_angle_alpha 29.34
_cell_angle_beta 29.34
_cell_angle_gamma 29.34
loop_
_symmetry_equiv_pos_as_xyz
'x,y,z'
loop_
_atom_site_label
_atom_site_fract_x
_atom_site_fract_y
_atom_site_fract_z
Pa1 0.000 0.000 0.000
Ga1 0.500 0.500 0.500
O1 0.375 0.375 0.375
O2 0.625 0.625 0.625

3.
# Pa2GaO | Alexandria | GGA-PBE | relaxed
# Space-group type: No. 123
# Formation energy (no corrections): -3.45 eV/f.u.
# Density: 12.6 g/cm3
# Crystal system: tetragonal
data_Pa2GaO
_chemical_formula_sum 'Pa2 Ga1 O1'
_symmetry_space_group_name_H-M 'P 1'
_symmetry_Int_Tables_number 1
_cell_length_a 3.092
_cell_length_b 3.092
_cell_length_c 7.553
_cell_angle_alpha 90.00
_cell_angle_beta 90.00
_cell_angle_gamma 90.00
loop_
_symmetry_equiv_pos_as_xyz
'x,y,z'
loop_
_atom_site_label
_atom_site_fract_x
_atom_site_fract_y
_atom_site_fract_z
Pa1 0.000 0.000 0.213
Pa2 0.000 0.000 0.787
Ga1 0.500 0.500 0.500
O1 0.500 0.500 0.000

4.
# PaGaO4 | Alexandria | GGA-PBE | relaxed
# Space-group type: No. 141
# Formation energy (no corrections): -15.40 eV/f.u.
# Density: 8.6 g/cm3
# Crystal system: tetragonal
data_PaGaO4
_chemical_formula_sum 'Pa2 Ga2 O8'
_symmetry_space_group_name_H-M 'P 1'
_symmetry_Int_Tables_number 1
_cell_length_a 6.410
_cell_length_b 6.410
_cell_length_c 6.410
_cell_angle_alpha 132.31
_cell_angle_beta 132.31
_cell_angle_gamma 69.74
loop_
_symmetry_equiv_pos_as_xyz
'x,y,z'
loop_
_atom_site_label
_atom_site_fract_x
_atom_site_fract_y
_atom_site_fract_z
Pa1 0.375 0.625 0.750
Pa2 0.625 0.375 0.250
Ga1 0.125 0.875 0.250
Ga2 0.875 0.125 0.750
O1 0.000 0.241 0.241
O2 0.000 0.759 0.759
O3 0.241 0.000 0.741
O4 0.241 0.500 0.241
O5 0.500 0.241 0.741
O6 0.500 0.759 0.259
O7 0.759 0.000 0.259
O8 0.759 0.500 0.759